# 1
Entry from the Alexandria database: a geometry-optimized Be2Sn4H structure (PBE).

Values from the calculation:
Its space-group type is I4/mmm (139). The value obtained for the uncorrected energy is -3.2958 eV per atom.

Structure (POSCAR):
```
Be2Sn4H
1.0
-2.142 2.142 7.422
2.142 -2.142 7.422
2.142 2.142 -7.422
Be Sn H
2 4 1
Cartesian
0.000 0.000 1.884 Be
0.000 0.000 12.959 Be
2.142 0.000 0.000 Sn
0.000 0.000 4.426 Sn
0.000 2.142 0.000 Sn
0.000 0.000 10.418 Sn
0.000 0.000 7.422 H
```


# 2
Entry from the Alexandria database: a geometry-optimized Nd5Dy6Mg structure (PBE).

Values from the calculation:
Its space-group type is Immm (71). For the formation energy from the elements, the calculation gives 22 meV per atom.

Structure (POSCAR):
```
Nd5Dy6Mg
1.0
-2.539 5.061 7.565
2.539 -5.061 7.565
2.539 5.061 -7.565
Nd Dy Mg
5 6 1
Cartesian
0.000 0.000 0.000 Nd
2.539 0.000 2.517 Nd
0.000 0.000 5.046 Nd
0.000 0.000 10.084 Nd
0.000 5.061 5.048 Nd
2.539 -2.508 5.053 Dy
2.539 2.531 0.000 Dy
0.000 2.552 2.511 Dy
2.539 2.508 5.053 Dy
0.000 2.529 7.565 Dy
0.000 7.569 2.511 Dy
0.000 5.061 0.000 Mg
```


# 3
Entry from the Alexandria database: a geometry-optimized Nd3PdO6 structure (PBE).

Values from the calculation:
As for the uncorrected formation energy: -2.54 eV per atom. For the energy above the most stable polymorph in this dataset, the calculation gives 20.0 meV/atom. Its space-group type is Cmc2_1 (36).

Structure (POSCAR):
```
Nd3PdO6
1.0
4.688 -5.725 0.000
4.688 5.725 0.000
0.000 0.000 5.677
Nd Pd O
6 2 12
Cartesian
4.688 4.529 2.839 Nd
2.764 1.328 3.145 Nd
2.764 -1.328 0.306 Nd
6.612 1.328 3.145 Nd
6.612 -1.328 0.306 Nd
4.688 -4.529 0.000 Nd
4.688 1.545 0.302 Pd
4.688 -1.545 3.140 Pd
3.325 2.864 1.398 O
1.479 0.151 1.589 O
1.479 -0.151 4.428 O
4.688 2.538 4.239 O
6.051 2.864 1.398 O
4.688 0.205 1.969 O
4.688 -0.205 4.808 O
3.325 -2.864 4.237 O
4.688 -2.538 1.400 O
7.897 0.151 1.589 O
7.897 -0.151 4.428 O
6.051 -2.864 4.237 O
```


Repeat the second record exactly.
Entry from the Alexandria database: a geometry-optimized Nd5Dy6Mg structure (PBE).

Values from the calculation:
Its space-group type is Immm (71). For the formation energy from the elements, the calculation gives 22 meV per atom.

Structure (POSCAR):
```
Nd5Dy6Mg
1.0
-2.539 5.061 7.565
2.539 -5.061 7.565
2.539 5.061 -7.565
Nd Dy Mg
5 6 1
Cartesian
0.000 0.000 0.000 Nd
2.539 0.000 2.517 Nd
0.000 0.000 5.046 Nd
0.000 0.000 10.084 Nd
0.000 5.061 5.048 Nd
2.539 -2.508 5.053 Dy
2.539 2.531 0.000 Dy
0.000 2.552 2.511 Dy
2.539 2.508 5.053 Dy
0.000 2.529 7.565 Dy
0.000 7.569 2.511 Dy
0.000 5.061 0.000 Mg
```


Please write out number 2 again, unchanged.
Entry from the Alexandria database: a geometry-optimized Nd5Dy6Mg structure (PBE).

Values from the calculation:
Its space-group type is Immm (71). For the formation energy from the elements, the calculation gives 22 meV per atom.

Structure (POSCAR):
```
Nd5Dy6Mg
1.0
-2.539 5.061 7.565
2.539 -5.061 7.565
2.539 5.061 -7.565
Nd Dy Mg
5 6 1
Cartesian
0.000 0.000 0.000 Nd
2.539 0.000 2.517 Nd
0.000 0.000 5.046 Nd
0.000 0.000 10.084 Nd
0.000 5.061 5.048 Nd
2.539 -2.508 5.053 Dy
2.539 2.531 0.000 Dy
0.000 2.552 2.511 Dy
2.539 2.508 5.053 Dy
0.000 2.529 7.565 Dy
0.000 7.569 2.511 Dy
0.000 5.061 0.000 Mg
```